No. 1
First-principles (GGA-PBE) data for a geometry-optimized NdHgAu structure, as listed in the Open Quantum Materials Database.

## Properties
size of the total moment: 0.01 μB per formula unit
uncorrected energy: -37.1 eV per cell
calculated volume: 87.6 Å³/f.u.

abc: 7.0488 7.0488 7.0488
angles: 90.00 90.00 90.00
Closest atoms and distances in Å follow each position.
Space group F-43m (No. 216)
One atom of each set of equivalent atoms:
1 Nd 0.0000 0.0000 0.0000  4 Hg 3.05, 4 Au 3.05
2 Hg 0.2500 0.2500 0.2500  4 Nd 3.05
3 Au 0.2500 0.2500 0.7500  4 Nd 3.05

No. 2
First-principles (GGA-PBE) data for a geometry-optimized BeTcNiSn structure, as listed in the Open Quantum Materials Database.

## Properties
size of the total moment: 0.00 μB per formula unit
E above lowest polymorph: 149 meV/atom
calculated volume: 54.0 Å³/f.u.

abc: 6.0012 6.0012 6.0012
angles: 90.00 90.00 90.00
Closest atoms and distances in Å follow each position.
Space group F-43m (No. 216)
One atom of each set of equivalent atoms:
1 Be 0.0000 0.0000 0.0000  4 Sn 2.60, 4 Tc 2.60
2 Tc 0.2500 0.2500 0.7500  4 Ni 2.60, 4 Be 2.60
3 Ni 0.0000 0.0000 0.5000  4 Sn 2.60, 4 Tc 2.60
4 Sn 0.2500 0.2500 0.2500  4 Ni 2.60, 4 Be 2.60

No. 3
First-principles (GGA-PBE) data for a geometry-optimized LiZnCoNi structure, as listed in the Open Quantum Materials Database.

## Properties
size of the total moment: 1.87 μB per formula unit
E above lowest polymorph: 0 meV/atom
calculated volume: 46.1 Å³/f.u.

abc: 5.6900 5.6900 5.6900
angles: 90.00 90.00 90.00
Closest atoms and distances in Å follow each position.
Space group F-43m (No. 216)
One atom of each set of equivalent atoms:
1 Li 0.0000 0.0000 0.0000  4 Co 2.46, 4 Zn 2.46
2 Zn 0.2500 0.2500 0.2500  4 Li 2.46, 4 Ni 2.46
3 Co 0.2500 0.2500 0.7500  4 Li 2.46, 4 Ni 2.46
4 Ni 0.0000 0.0000 0.5000  4 Co 2.46, 4 Zn 2.46

No. 4
First-principles (GGA-PBE) data for a geometry-optimized GaCuIrPt structure, as listed in the Open Quantum Materials Database.

## Properties
size of the total moment: 0.00 μB per formula unit
E above lowest polymorph: 0 meV/atom
calculated volume: 58.1 Å³/f.u.

abc: 6.1479 6.1479 6.1479
angles: 90.00 90.00 90.00
Closest atoms and distances in Å follow each position.
Space group F-43m (No. 216)
One atom of each set of equivalent atoms:
1 Ga 0.0000 0.0000 0.0000  4 Cu 2.66, 4 Ir 2.66
2 Cu 0.2500 0.2500 0.2500  4 Pt 2.66, 4 Ga 2.66
3 Ir 0.2500 0.2500 0.7500  4 Pt 2.66, 4 Ga 2.66
4 Pt 0.0000 0.0000 0.5000  4 Ir 2.66, 4 Cu 2.66

No. 5
First-principles (GGA-PBE) data for a geometry-optimized LiHfBiOs structure, as listed in the Open Quantum Materials Database.

## Properties
size of the total moment: 0.00 μB per formula unit
E above lowest polymorph: 293 meV/atom
calculated volume: 74.0 Å³/f.u.

abc: 6.6630 6.6630 6.6630
angles: 90.00 90.00 90.00
Closest atoms and distances in Å follow each position.
Space group F-43m (No. 216)
One atom of each set of equivalent atoms:
1 Li 0.0000 0.0000 0.0000  4 Bi 2.89, 4 Os 2.89
2 Hf 0.0000 0.0000 0.5000  4 Bi 2.89, 4 Os 2.89
3 Bi 0.2500 0.2500 0.2500  4 Hf 2.89, 4 Li 2.89
4 Os 0.2500 0.2500 0.7500  4 Hf 2.89, 4 Li 2.89

No. 6
First-principles (GGA-PBE) data for a geometry-optimized TbTe3 structure, as listed in the Open Quantum Materials Database.

## Properties
size of the total moment: 0.01 μB per formula unit
uncorrected energy: -71.2 eV per cell
calculated volume: 124.2 Å³/f.u.

abc: 4.3363 26.4245 4.3371
angles: 90.00 90.00 90.00
Closest atoms and distances in Å follow each position.
Space group Cmcm (No. 63)
One atom of each set of equivalent atoms:
1 Tb 0.0000 0.1714 0.2500  9 Te 3.21-3.32
2 Te 0.0000 0.0762 0.7500  4 Te 3.07, 2 Tb 3.32
3 Te 0.0000 0.2929 0.2500  5 Tb 3.21
4 Te 0.0000 0.4238 0.7500  4 Te 3.07, 2 Tb 3.32

No. 7
First-principles (GGA-PBE) data for a geometry-optimized LiLuSi structure, as listed in the Open Quantum Materials Database.

## Properties
size of the total moment: 0.00 μB per formula unit
uncorrected energy: -52.3 eV per cell
calculated volume: 66.8 Å³/f.u.

abc: 6.4403 6.4403 6.4403
angles: 90.00 90.00 90.00
Closest atoms and distances in Å follow each position.
Space group F-43m (No. 216)
One atom of each set of equivalent atoms:
1 Li 0.0000 0.0000 0.0000  4 Si 2.79
2 Lu 0.0000 0.0000 0.5000  4 Si 2.79
3 Si 0.2500 0.2500 0.2500  4 Li 2.79, 4 Lu 2.79

No. 8
First-principles (GGA-PBE) data for a geometry-optimized Dy3ZnNiSn2Ir2 structure, as listed in the Open Quantum Materials Database.

## Properties
size of the total moment: 0.00 μB per formula unit
uncorrected energy: -105.8 eV per cell
calculated volume: 181.4 Å³/f.u.

abc: 3.8114 12.8243 7.4230
angles: 90.00 90.00 90.00
Closest atoms and distances in Å follow each position.
Space group Amm2 (No. 38)
One atom of each set of equivalent atoms:
1 Dy 0.0000 0.0000 0.0000  4 Ir 2.93, 2 Zn 3.06, 1 Ni 3.18
2 Dy 0.0000 0.1994 0.3693  4 Ir 2.93-2.98, 1 Ni 2.96, 2 Zn 3.21, 4 Sn 3.22-3.26
3 Zn 0.5000 0.0000 0.3231  2 Ni 2.65, 2 Ir 2.83
4 Ni 0.0000 0.0000 0.5714  2 Zn 2.65, 4 Sn 2.65, 2 Dy 2.96
5 Sn 0.5000 0.1231 0.7005  2 Ni 2.65, 2 Ir 2.84
6 Ir 0.5000 0.1678 0.0749  1 Zn 2.83, 2 Sn 2.84, 6 Dy 2.93-2.98

No. 9
First-principles (GGA-PBE) data for a geometry-optimized ReAuNO structure, as listed in the Open Quantum Materials Database.

## Properties
size of the total moment: 0.00 μB per formula unit
E above lowest polymorph: 123 meV/atom
calculated volume: 57.3 Å³/f.u.

abc: 5.7568 7.8994 5.0376
angles: 90.00 90.00 90.00
Closest atoms and distances in Å follow each position.
Space group Pca2_1 (No. 29)
One atom of each set of equivalent atoms:
1 Re 0.0877 0.1579 0.0000  1 N 1.70
2 Au 0.1278 0.4175 0.3841  1 N 2.21
3 N 0.1202 0.6960 0.4254  1 Re 1.70
4 O 0.1017 0.9991 0.7088  2 Re 1.93-1.96

No. 10
First-principles (GGA-PBE) data for a geometry-optimized NaTaCdS3 structure, as listed in the Open Quantum Materials Database.

## Properties
size of the total moment: 1.28 μB per formula unit
uncorrected energy: -119.0 eV per cell
calculated volume: 122.4 Å³/f.u.

abc: 3.5785 13.8060 9.9091
angles: 90.00 90.00 90.00
Closest atoms and distances in Å follow each position.
Space group Cmcm (No. 63)
One atom of each set of equivalent atoms:
1 Na 0.0000 0.2411 0.2500  4 S 2.84-3.13
2 Ta 0.0000 0.5000 0.0000  6 S 2.55-2.72
3 Cd 0.0000 0.0536 0.7500  4 S 2.46-2.58
4 S 0.0000 0.1305 0.5262  1 Cd 2.46, 2 Ta 2.55
5 S 0.0000 0.4188 0.7500  2 Cd 2.58, 2 Ta 2.72, 2 Na 2.84

No. 11
First-principles (GGA-PBE) data for a geometry-optimized Sr2Li3TaN4 structure, as listed in the Open Quantum Materials Database.

## Properties
size of the total moment: 0.00 μB per formula unit
E above lowest polymorph: 18 meV/atom
calculated volume: 141.4 Å³/f.u.

abc: 10.9110 5.5538 10.7934
angles: 90.00 120.13 90.00
Closest atoms and distances in Å follow each position.
Space group C2/c (No. 15)
One atom of each set of equivalent atoms:
1 Sr 0.1521 0.2150 0.1094  3 N 2.58-2.67, 2 Li 2.83-2.86
2 Li 0.0000 0.3517 0.2500  4 N 2.22-2.28
3 Li 0.1787 0.3002 0.5465  3 N 1.97-2.05
4 Ta 0.0000 0.1629 0.7500  4 N 1.95-1.96
5 N 0.0891 0.3699 0.6701  1 Ta 1.96, 1 Li 2.05
6 N 0.1372 0.0501 0.3990  1 Ta 1.95, 2 Li 1.97-1.99

No. 12
First-principles (GGA-PBE) data for a geometry-optimized YLu2Ge structure, as listed in the Open Quantum Materials Database.

## Properties
size of the total moment: 0.10 μB per formula unit
uncorrected energy: -82.0 eV per cell
calculated volume: 99.9 Å³/f.u.

abc: 7.3651 7.3651 7.3651
angles: 90.00 90.00 90.00
Closest atoms and distances in Å follow each position.
Space group F-43m (No. 216)
One atom of each set of equivalent atoms:
1 Y 0.0000 0.0000 0.0000  4 Ge 3.19, 4 Lu 3.19
2 Lu 0.0000 0.0000 0.5000  4 Lu 3.19, 4 Ge 3.19
3 Lu 0.2500 0.2500 0.2500  4 Y 3.19, 4 Lu 3.19
4 Ge 0.2500 0.2500 0.7500  4 Y 3.19, 4 Lu 3.19